(1)
Density functional theory data (GGA-PBE) for a relaxed Zn2CdCl crystal.

Calculated values
The value obtained for the density of states at the Fermi level is 0.42 states/eV/cell. The energy above the most stable polymorph in this dataset comes out at 0.00 kJ/mol of atoms. As for the uncorrected formation energy: -3.444 kcal/mol of atoms. For the calculated volume, the calculation gives 20.44 Å³/atom.

Cell lengths 7.9429, 7.9429, 7.9429 Å; angles 25.50, 25.50, 25.50 degrees
With the nearest neighbours (Å) after each atom.
Positions (direct):
Zn 0.2501 0.2501 0.2501  3 Cd 2.79, 3 Cl 2.79
Zn 0.7499 0.7499 0.7499  3 Cd 2.79, 3 Cl 2.79
Cd 0.0000 0.0000 0.0000  6 Zn 2.79
Cl 0.5000 0.5000 0.5000  6 Zn 2.79

=====

(2)
Density functional theory data (GGA-PBE) for a relaxed Zn2CdCl crystal.

Calculated values
The value obtained for the density of states at the Fermi level is 0.85 states/eV/cell. The energy above the most stable polymorph in this dataset comes out at 15.97 kJ/mol of atoms. As for the uncorrected formation energy: 0.373 kcal/mol of atoms. For the calculated volume, the calculation gives 22.71 Å³/atom.

Cell lengths 3.9792, 3.9792, 5.7357 Å; angles 90.00, 90.00, 90.00 degrees
With the nearest neighbours (Å) after each atom.
Positions (direct):
Zn 0.0000 0.5000 0.0000  4 Zn 2.81
Zn 0.5000 0.0000 0.0000  4 Zn 2.81
Cd 0.0000 0.0000 0.5000  4 Cl 2.81
Cl 0.5000 0.5000 0.5000  4 Cd 2.81

=====

(3)
Density functional theory data (GGA-PBE) for a relaxed ZnCdCl2 crystal.

Calculated values
The value obtained for the density of states at the Fermi level is 0.00 states/eV/cell. The energy above the most stable polymorph in this dataset comes out at 18.85 kJ/mol of atoms. As for the uncorrected formation energy: -11.232 kcal/mol of atoms. For the calculated volume, the calculation gives 32.69 Å³/atom.

Cell lengths 6.1431, 3.7333, 6.4544 Å; angles 90.00, 117.95, 90.00 degrees
With the nearest neighbours (Å) after each atom.
Positions (direct):
Zn 0.0000 0.0000 0.0000  2 Cd 3.07
Cd 0.5000 0.0000 0.0000  4 Cl 2.57
Cl 0.3431 0.5000 0.6904  2 Cd 2.57
Cl 0.6569 0.5000 0.3096  2 Cd 2.57

=====

(4)
Density functional theory data (GGA-PBE) for a relaxed Zn2CdCl crystal.

Calculated values
The value obtained for the density of states at the Fermi level is 1.16 states/eV/cell. The energy above the most stable polymorph in this dataset comes out at 2.43 kJ/mol of atoms. As for the uncorrected formation energy: -2.862 kcal/mol of atoms. For the calculated volume, the calculation gives 21.49 Å³/atom.

Cell lengths 3.4456, 3.4456, 8.3446 Å; angles 90.00, 90.00, 119.82 degrees
With the nearest neighbours (Å) after each atom.
Positions (direct):
Zn 0.0000 0.0000 0.0000  2 Cl 2.49, 2 Zn 2.54
Zn 0.5000 0.5000 0.2234  2 Zn 2.54, 2 Cd 2.75
Cd 0.0000 0.0000 0.4802  2 Zn 2.75, 2 Cl 3.08
Cl 0.5000 0.5000 0.7853  2 Zn 2.49

=====

(5)
Density functional theory data (GGA-PBE) for a relaxed ZnCdCl2 crystal.

Calculated values
The value obtained for the density of states at the Fermi level is 0.43 states/eV/cell. The energy above the most stable polymorph in this dataset comes out at 0.00 kJ/mol of atoms. As for the uncorrected formation energy: -15.738 kcal/mol of atoms. For the calculated volume, the calculation gives 24.39 Å³/atom.

Cell lengths 8.8399, 8.8399, 8.8399 Å; angles 23.64, 23.64, 23.64 degrees
With the nearest neighbours (Å) after each atom.
Positions (direct):
Zn 0.0000 0.0000 0.0000  3 Cl 2.50
Cd 0.2535 0.2535 0.2535  3 Cl 2.66, 3 Zn 2.93
Cl 0.5228 0.5228 0.5228  3 Cd 2.66
Cl 0.7195 0.7195 0.7195  3 Zn 2.50

=====

(6)
Density functional theory data (GGA-PBE) for a relaxed Zn2CdCl crystal.

Calculated values
The value obtained for the density of states at the Fermi level is 2.65 states/eV/cell. The energy above the most stable polymorph in this dataset comes out at 25.45 kJ/mol of atoms. As for the uncorrected formation energy: 2.640 kcal/mol of atoms. For the calculated volume, the calculation gives 22.44 Å³/atom.

Cell lengths 5.0258, 5.0258, 5.0258 Å; angles 60.00, 60.00, 60.00 degrees
With the nearest neighbours (Å) after each atom.
Positions (direct):
Zn 0.0000 0.0000 0.0000  4 Cd 3.08, 4 Zn 3.08
Zn 0.2500 0.2500 0.2500  4 Cl 3.08, 4 Zn 3.08
Cd 0.7500 0.7500 0.7500  4 Cl 3.08, 4 Zn 3.08
Cl 0.5000 0.5000 0.5000  4 Cd 3.08, 4 Zn 3.08

=====

(7)
Density functional theory data (GGA-PBE) for a relaxed ZnCdCl2 crystal.

Calculated values
The value obtained for the density of states at the Fermi level is 0.21 states/eV/cell. The energy above the most stable polymorph in this dataset comes out at 24.15 kJ/mol of atoms. As for the uncorrected formation energy: -9.965 kcal/mol of atoms. For the calculated volume, the calculation gives 32.19 Å³/atom.

Cell lengths 3.8347, 3.8347, 10.1954 Å; angles 90.00, 90.00, 120.83 degrees
With the nearest neighbours (Å) after each atom.
Positions (direct):
Zn 0.0000 0.0000 0.0000  6 Zn 3.79-3.83, 4 Cl 3.87
Cd 0.0000 0.0000 0.5000  4 Cl 2.56
Cl 0.5000 0.5000 0.3316  2 Cd 2.56
Cl 0.5000 0.5000 0.6684  2 Cd 2.56

=====

(8)
Density functional theory data (GGA-PBE) for a relaxed Zn4CdCl crystal.

Calculated values
The value obtained for the density of states at the Fermi level is 1.52 states/eV/cell. As for the uncorrected formation energy: 0.931 kcal/mol of atoms. For the calculated volume, the calculation gives 18.73 Å³/atom.

Cell lengths 5.4165, 5.4165, 5.4165 Å; angles 60.00, 60.00, 60.00 degrees
With the nearest neighbours (Å) after each atom.
Positions (direct):
Zn 0.1236 0.1236 0.1236  6 Zn 2.68-2.74
Zn 0.1236 0.1236 0.6291  6 Zn 2.68-2.74
Zn 0.1236 0.6291 0.1236  6 Zn 2.68-2.74
Zn 0.6291 0.1236 0.1236  6 Zn 2.68-2.74
Cd 0.7500 0.7500 0.7500  12 Zn 3.17, 4 Cl 3.32
Cl 0.5000 0.5000 0.5000  12 Zn 3.18, 4 Cd 3.32

=====

(9)
Density functional theory data (GGA-PBE) for a relaxed ZnCdCl2 crystal.

Calculated values
The value obtained for the density of states at the Fermi level is 2.65 states/eV/cell. The energy above the most stable polymorph in this dataset comes out at 38.16 kJ/mol of atoms. As for the uncorrected formation energy: -6.617 kcal/mol of atoms. For the calculated volume, the calculation gives 25.67 Å³/atom.

Cell lengths 3.9164, 3.9232, 6.6825 Å; angles 90.00, 90.00, 90.00 degrees
With the nearest neighbours (Å) after each atom.
Positions (direct):
Zn 0.0000 0.0000 0.0000  4 Cl 2.77
Cd 0.5000 0.0000 0.5000  4 Cl 2.77
Cl 0.0000 0.5000 0.5000  4 Cd 2.77
Cl 0.5000 0.5000 0.0000  4 Zn 2.77

=====

(10)
Density functional theory data (GGA-PBE) for a relaxed Zn2CdCl crystal.

Calculated values
The value obtained for the density of states at the Fermi level is 0.64 states/eV/cell. The energy above the most stable polymorph in this dataset comes out at 13.10 kJ/mol of atoms. As for the uncorrected formation energy: -0.312 kcal/mol of atoms. For the calculated volume, the calculation gives 20.03 Å³/atom.

Cell lengths 5.2233, 5.2233, 3.0824 Å; angles 90.00, 90.00, 107.73 degrees
With the nearest neighbours (Å) after each atom.
Positions (direct):
Zn 0.0000 0.5000 0.0000  4 Cd 3.03, 4 Cl 3.03, 4 Zn 3.08
Zn 0.5000 0.0000 0.0000  4 Cd 3.03, 4 Cl 3.03, 4 Zn 3.08
Cd 0.0000 0.0000 0.5000  8 Zn 3.03, 2 Cl 3.08, 2 Cd 3.08
Cl 0.5000 0.5000 0.5000  8 Zn 3.03, 2 Cd 3.08, 2 Cl 3.08

=====

(11)
Density functional theory data (GGA-PBE) for a relaxed Zn2CdCl crystal.

Calculated values
The value obtained for the density of states at the Fermi level is 1.28 states/eV/cell. The energy above the most stable polymorph in this dataset comes out at 14.24 kJ/mol of atoms. As for the uncorrected formation energy: -0.040 kcal/mol of atoms. For the calculated volume, the calculation gives 21.80 Å³/atom.

Cell lengths 6.1678, 6.1678, 6.1678 Å; angles 142.29, 142.29, 54.39 degrees
With the nearest neighbours (Å) after each atom.
Positions (direct):
Zn 0.2500 0.7500 0.5000  4 Zn 2.82
Zn 0.7500 0.2500 0.5000  4 Zn 2.82
Cd 0.0000 0.0000 0.0000  4 Cl 2.82
Cl 0.5000 0.5000 0.0000  4 Cd 2.82

=====

(12)
Density functional theory data (GGA-PBE) for a relaxed Zn2CdCl crystal.

Calculated values
The value obtained for the density of states at the Fermi level is 0.95 states/eV/cell. The energy above the most stable polymorph in this dataset comes out at 8.65 kJ/mol of atoms. As for the uncorrected formation energy: -1.377 kcal/mol of atoms. For the calculated volume, the calculation gives 21.60 Å³/atom.

Cell lengths 5.7337, 5.7337, 4.0945 Å; angles 108.94, 108.94, 121.20 degrees
With the nearest neighbours (Å) after each atom.
Positions (direct):
Zn 0.0000 0.5000 0.0000  4 Zn 2.81-3.07, 2 Cd 2.93, 2 Cl 2.93
Zn 0.5000 0.0000 0.0000  4 Zn 2.81-3.07, 2 Cd 2.93, 2 Cl 2.93
Cd 0.0000 0.0000 0.5000  4 Cl 2.81-3.07, 4 Zn 2.93
Cl 0.5000 0.5000 0.5000  4 Cd 2.81-3.07, 4 Zn 2.93

=====

(13)
Density functional theory data (GGA-PBE) for a relaxed ZnCdCl2 crystal.

Calculated values
The value obtained for the density of states at the Fermi level is 3.01 states/eV/cell. The energy above the most stable polymorph in this dataset comes out at 47.16 kJ/mol of atoms. As for the uncorrected formation energy: -4.467 kcal/mol of atoms. For the calculated volume, the calculation gives 21.93 Å³/atom.

Cell lengths 4.9465, 4.9465, 3.5855 Å; angles 90.00, 90.00, 90.00 degrees
With the nearest neighbours (Å) after each atom.
Positions (direct):
Zn 0.0000 0.0000 0.0000  8 Cl 3.05
Cd 0.5000 0.5000 0.0000  8 Cl 3.05
Cl 0.0000 0.5000 0.5000  4 Cd 3.05, 4 Zn 3.05
Cl 0.5000 0.0000 0.5000  4 Cd 3.05, 4 Zn 3.05

=====

(14)
Density functional theory data (GGA-PBE) for a relaxed ZnCdCl2 crystal.

Calculated values
The value obtained for the density of states at the Fermi level is 0.55 states/eV/cell. The energy above the most stable polymorph in this dataset comes out at 12.24 kJ/mol of atoms. As for the uncorrected formation energy: -12.813 kcal/mol of atoms. For the calculated volume, the calculation gives 27.37 Å³/atom.

Cell lengths 3.8298, 3.8298, 9.0443 Å; angles 90.00, 90.00, 124.37 degrees
With the nearest neighbours (Å) after each atom.
Positions (direct):
Zn 0.0000 0.0000 0.0000  2 Cl 2.35
Cd 0.5000 0.5000 0.7564  2 Cl 2.54, 2 Zn 2.84
Cl 0.0000 0.0000 0.5562  2 Cd 2.54
Cl 0.5000 0.5000 0.1688  2 Zn 2.35